# SCAN IrOsCCl2, single point on PBEsol structure
# E_form (uncorrected) = 2.234 eV per atom
# E_tot = -31.57 eV per atom
# D(E_F) = 0.8996 states/eV per atom
data_IrOsCCl2
_chemical_formula_sum 'Ir1 Os1 C1 Cl2'
_cell_length_a 4.0806
_cell_length_b 4.0806
_cell_length_c 4.1802
_cell_angle_alpha 90.00
_cell_angle_beta 90.00
_cell_angle_gamma 90.00
_symmetry_space_group_name_H-M 'P 4/m m m'
_symmetry_Int_Tables_number 123
_symmetry_space_group_name_Hall '-P 4 2'
loop_
_atom_site_label
_atom_site_fract_x
_atom_site_fract_y
_atom_site_fract_z
Ir1 0.0000 0.0000 0.0000
Os1 0.5000 0.5000 0.0000
C1 0.5000 0.5000 0.5000
Cl1 0.0000 0.5000 0.5000